No. 1
First-principles (PBE-GGA) data for CaPrYIn after structural relaxation, as listed in the Alexandria database.

Cell: 7.896 7.896 7.896 Å, 90.00 90.00 90.00°
Space group F-43m (No. 216)
Symmetry-distinct sites (fractional):
Ca (0.000, 0.000, 0.000)
Pr (0.250, 0.250, 0.250)
Y (0.250, 0.250, 0.750)
In (0.000, 0.000, 0.500)

Values from the calculation:
Its formation energy is -0.1860 eV/atom. The value obtained for the total magnetic moment is 0.0 μB/f.u.

No. 2
First-principles (PBE-GGA) data for BaLi2Hg after structural relaxation, as listed in the Alexandria database.

Cell: 5.184 5.184 19.628 Å, 90.00 90.00 90.00°
Space group I4_1/amd (No. 141, origin choice 2)
Symmetry-distinct sites (fractional):
Ba (0.000, 0.250, 0.375)
Li (0.000, 0.000, 0.000)
Hg (0.000, 0.250, 0.875)

Values from the calculation:
Its formation energy is -0.1239 eV/atom. The value obtained for the total magnetic moment is 0.0 μB/f.u.

No. 3
First-principles (PBE-GGA) data for RbZr3S after structural relaxation, as listed in the Alexandria database.

Cell: 5.058 5.058 5.058 Å, 90.00 90.00 90.00°
Space group Pm-3m (No. 221)
Symmetry-distinct sites (fractional):
Rb (0.000, 0.000, 0.000)
Zr (0.000, 0.500, 0.500)
S (0.500, 0.500, 0.500)

Values from the calculation:
The energy relative to the lowest polymorph listed for this composition is 0.0 meV per atom. The value obtained for the total magnetic moment is 0.0 μB/f.u.

No. 4
First-principles (PBE-GGA) data for LiPdN2O after structural relaxation, as listed in the Alexandria database.

Cell: 3.606 3.606 3.606 Å, 90.00 90.00 90.00°
Space group P4/mmm (No. 123)
Symmetry-distinct sites (fractional):
Li (0.000, 0.000, 0.000)
Pd (0.500, 0.500, 0.500)
N (0.000, 0.500, 0.000)
O (0.000, 0.000, 0.500)

Values from the calculation:
For the total energy, the calculation gives -20.9 eV/cell. The value obtained for the total magnetic moment is 0.5 μB/f.u.

The highest total magnetic moment belongs to which entry?
LiPdN2O